{
  "formula": "Ta3RuRh",
  "functional": "PBE-GGA",
  "state": "relaxed",
  "e_above_lowest_polymorph_mev_per_atom": 192,
  "spacegroup": "Pm-3m, No. 221",
  "dos_at_fermi_per_ev_cell": 6.21,
  "m_tot_mub_per_fu": 0.00,
  "lattice": [[4.7253, 0.0000, 0.0000], [0.0000, 4.7253, 0.0000], [0.0000, 0.0000, 4.7253]],
  "species": ["Ta", "Ta", "Ta", "Ru", "Rh"],
  "frac_coords": [[0.0000, 0.0000, 0.5000], [0.0000, 0.5000, 0.0000], [0.5000, 0.0000, 0.0000], [0.5000, 0.5000, 0.5000], [0.0000, 0.0000, 0.0000]]
}